Crystalline AgI2Br6 at its relaxed geometry, computed with GGA-PBE.

Results
relative energy among the computed polymorphs = 8 meV per atom
crystal system = monoclinic
raw total energy = -1.819 eV per atom
M_tot = 0.000 μB per formula unit
ΔE_f (raw) = -0.043 eV per atom

Lattice parameters (Å, degrees): 12.6108 11.9804 10.3628 90.00 104.62 90.00
Space group C2/c (No. 15)
Unique sites:
Ag: 0.0000 0.0608 0.2500 x4
I: 0.1445 0.3459 0.1316 x8
Br: 0.1081 0.1352 0.7827 x8
Br: 0.1321 0.4609 0.9173 x8
Br: 0.1497 0.2057 0.3584 x8

***

Crystalline NdTl4I7 at its relaxed geometry, computed with GGA-PBE.

Results
crystal system = monoclinic
raw total energy = -2.947 eV per atom
M_tot = 0.000 μB per formula unit
ΔE_f (raw) = -0.856 eV per atom

Lattice parameters (Å, degrees): 23.1445 6.0459 8.5136 90.00 107.14 90.00
Space group C2/m (No. 12)
Unique sites:
Nd: 0.0000 0.0000 0.0000 x2
Tl: 0.0846 0.5000 0.6464 x4
Tl: 0.1914 0.5000 0.2685 x4
I: 0.0000 0.5000 0.0000 x2
I: 0.0808 0.0000 0.3650 x4
I: 0.1171 0.0000 0.8890 x4
I: 0.2267 0.5000 0.6763 x4

***

Crystalline SrCr2Rh2 at its relaxed geometry, computed with GGA-PBE.

Results
crystal system = tetragonal
raw total energy = -6.926 eV per atom
M_tot = 0.724 μB per formula unit
DFT formation energy = 0.200 eV per atom

Lattice parameters (Å, degrees): 4.4345 4.4345 8.9448 90.00 90.00 90.00
Space group I4/mmm (No. 139)
Unique sites:
Sr: 0.0000 0.0000 0.0000 x2
Cr: 0.0000 0.0000 0.3867 x4
Rh: 0.0000 0.5000 0.2500 x4

***

What is the formula in the first record?
AgI2Br6